# MnCuAsPd PBE optimized geometry
data_MnCuAsPd
_cell_length_a 6.147
_cell_length_b 6.147
_cell_length_c 6.147
_cell_angle_alpha 90.00
_cell_angle_beta 90.00
_cell_angle_gamma 90.00
_symmetry_space_group_name_H-M 'F -4 3 m'
_symmetry_Int_Tables_number 216
_symmetry_space_group_name_Hall 'F -4 2 3'
loop_
_atom_site_label
_atom_site_type_symbol
_atom_site_fract_x
_atom_site_fract_y
_atom_site_fract_z
Mn1 Mn 0.000 0.000 0.000
Cu1 Cu 0.250 0.250 0.750
As1 As 0.250 0.250 0.250
Pd1 Pd 0.000 0.000 0.500
# - energy (eV per cell) = -93.723
# - crystal system = cubic
# - formation enthalpy at 0 K (eV per atom) = -0.08



# CaPr2ThAs4 PBE optimized geometry
data_CaPr2ThAs4
_cell_length_a 7.401
_cell_length_b 4.302
_cell_length_c 7.430
_cell_angle_alpha 90.00
_cell_angle_beta 109.27
_cell_angle_gamma 90.00
_symmetry_space_group_name_H-M 'P 1 2/m 1'
_symmetry_Int_Tables_number 10
loop_
_symmetry_equiv_pos_as_xyz
'x,y,z'
'-x,-y,-z'
'-x,y,-z'
'x,-y,z'
loop_
_atom_site_label
_atom_site_type_symbol
_atom_site_fract_x
_atom_site_fract_y
_atom_site_fract_z
Ca1 Ca 0.000 0.000 0.000
Pr1 Pr 0.000 0.500 0.500
Pr2 Pr 0.500 0.000 0.500
Th1 Th 0.500 0.500 0.000
As1 As 0.254 0.000 0.755
As2 As 0.254 0.500 0.247
# - energy (eV per cell) = -48.843
# - crystal system = monoclinic
# - formation enthalpy at 0 K (eV per atom) = -1.41



# NdSbAu2 PBE optimized geometry
data_NdSbAu2
_cell_length_a 4.521
_cell_length_b 4.521
_cell_length_c 4.575
_cell_angle_alpha 90.00
_cell_angle_beta 90.00
_cell_angle_gamma 90.00
_symmetry_space_group_name_H-M 'P 4/m m m'
_symmetry_Int_Tables_number 123
_symmetry_space_group_name_Hall '-P 4 2'
loop_
_atom_site_label
_atom_site_type_symbol
_atom_site_fract_x
_atom_site_fract_y
_atom_site_fract_z
Nd1 Nd 0.000 0.000 0.000
Sb1 Sb 0.500 0.500 0.000
Au1 Au 0.000 0.500 0.500
# - energy (eV per cell) = -17.781
# - crystal system = tetragonal
# - formation energy (no corrections) (kJ/mol of formula units) = -225



# Ba2Zn4SnGe3 PBE optimized geometry
data_Ba2Zn4SnGe3
_cell_length_a 4.600
_cell_length_b 4.600
_cell_length_c 10.982
_cell_angle_alpha 90.00
_cell_angle_beta 90.00
_cell_angle_gamma 90.00
_symmetry_space_group_name_H-M 'P -4 m 2'
_symmetry_Int_Tables_number 115
loop_
_symmetry_equiv_pos_as_xyz
'x,y,z'
'y,-x,-z'
'-x,-y,z'
'-y,x,-z'
'-x,y,z'
'-y,-x,-z'
'x,-y,z'
'y,x,-z'
loop_
_atom_site_label
_atom_site_type_symbol
_atom_site_fract_x
_atom_site_fract_y
_atom_site_fract_z
Ba1 Ba 0.000 0.500 0.238
Zn1 Zn 0.000 0.000 0.000
Zn2 Zn 0.000 0.500 0.641
Zn3 Zn 0.500 0.500 0.000
Sn1 Sn 0.000 0.000 0.500
Ge1 Ge 0.000 0.500 0.876
Ge2 Ge 0.500 0.500 0.500
# - energy (eV per cell) = -30.665
# - crystal system = tetragonal
# - formation enthalpy at 0 K (eV per atom) = -0.39



# RbPb3Au PBE optimized geometry
data_RbPb3Au
_cell_length_a 5.759
_cell_length_b 5.759
_cell_length_c 5.759
_cell_angle_alpha 90.00
_cell_angle_beta 90.00
_cell_angle_gamma 90.00
_symmetry_space_group_name_H-M 'P m -3 m'
_symmetry_Int_Tables_number 221
_symmetry_space_group_name_Hall '-P 4 2 3'
loop_
_atom_site_label
_atom_site_type_symbol
_atom_site_fract_x
_atom_site_fract_y
_atom_site_fract_z
Rb1 Rb 0.000 0.000 0.000
Pb1 Pb 0.000 0.500 0.500
Au1 Au 0.500 0.500 0.500
# - E above lowest polymorph (meV per atom) = 295
# - energy (eV per cell) = -14.758
# - crystal system = cubic
# - formation enthalpy at 0 K (eV per atom) = 0.12



# Cs2RbTl PBE optimized geometry
data_Cs2RbTl
_cell_length_a 6.740
_cell_length_b 6.740
_cell_length_c 6.023
_cell_angle_alpha 90.00
_cell_angle_beta 90.00
_cell_angle_gamma 90.00
_symmetry_space_group_name_H-M 'P 4/m m m'
_symmetry_Int_Tables_number 123
_symmetry_space_group_name_Hall '-P 4 2'
loop_
_atom_site_label
_atom_site_type_symbol
_atom_site_fract_x
_atom_site_fract_y
_atom_site_fract_z
Cs1 Cs 0.000 0.500 0.000
Rb1 Rb 0.000 0.000 0.500
Tl1 Tl 0.500 0.500 0.500
# - E above lowest polymorph (meV per atom) = 119
# - energy (eV per cell) = -4.704
# - crystal system = tetragonal
# - formation enthalpy at 0 K (eV per atom) = 0.08



# Sr2AcZn2 PBE optimized geometry
data_Sr2AcZn2
_cell_length_a 3.953
_cell_length_b 22.953
_cell_length_c 3.892
_cell_angle_alpha 90.00
_cell_angle_beta 90.00
_cell_angle_gamma 90.00
_symmetry_space_group_name_H-M 'C m m m'
_symmetry_Int_Tables_number 65
_symmetry_space_group_name_Hall '-C 2 2'
loop_
_atom_site_label
_atom_site_type_symbol
_atom_site_fract_x
_atom_site_fract_y
_atom_site_fract_z
Sr1 Sr 0.000 0.168 0.000
Ac1 Ac 0.000 0.000 0.000
Zn1 Zn 0.000 0.415 0.500
# - energy (eV per cell) = -21.544
# - crystal system = orthorhombic
# - formation enthalpy at 0 K (eV per atom) = -0.15



# LaGaCo2 PBE optimized geometry
data_LaGaCo2
_cell_length_a 4.196
_cell_length_b 6.702
_cell_length_c 5.306
_cell_angle_alpha 90.00
_cell_angle_beta 90.00
_cell_angle_gamma 90.00
_symmetry_space_group_name_H-M 'P m m n'
_symmetry_Int_Tables_number 59
loop_
_symmetry_equiv_pos_as_xyz
'x,y,z'
'-x,-y,-z'
'-x+1/2,-y+1/2,z'
'x+1/2,y+1/2,-z'
'x+1/2,-y,-z'
'-x+1/2,y,z'
'-x,y+1/2,-z'
'x,-y+1/2,z'
loop_
_atom_site_label
_atom_site_type_symbol
_atom_site_fract_x
_atom_site_fract_y
_atom_site_fract_z
La1 La 0.250 0.250 0.131
Ga1 Ga 0.250 0.750 0.361
Co1 Co 0.250 0.066 0.594
# - energy (eV per cell) = -46.571
# - crystal system = orthorhombic
# - formation enthalpy at 0 K (eV per atom) = -0.28



# La2TlTe PBE optimized geometry
data_La2TlTe
_cell_length_a 4.4432
_cell_length_b 4.4432
_cell_length_c 24.4824
_cell_angle_alpha 90.00
_cell_angle_beta 90.00
_cell_angle_gamma 120.00
_symmetry_space_group_name_H-M 'R -3 m'
_symmetry_Int_Tables_number 166
_symmetry_space_group_name_Hall '-R 3 2"'
loop_
_atom_site_label
_atom_site_type_symbol
_atom_site_fract_x
_atom_site_fract_y
_atom_site_fract_z
La1 La 0.0000 0.0000 0.2478
Tl1 Tl 0.0000 0.0000 0.0000
Te1 Te 0.0000 0.0000 0.5000
# - E above lowest polymorph (meV per atom) = 53
# - energy (eV per cell) = -57.506
# - crystal system = trigonal
# - formation energy (no corrections) (kJ/mol of formula units) = -367



# Pr2HoHg PBE optimized geometry
data_Pr2HoHg
_cell_length_a 7.860
_cell_length_b 7.860
_cell_length_c 7.860
_cell_angle_alpha 90.00
_cell_angle_beta 90.00
_cell_angle_gamma 90.00
_symmetry_space_group_name_H-M 'F m -3 m'
_symmetry_Int_Tables_number 225
_symmetry_space_group_name_Hall '-F 4 2 3'
loop_
_atom_site_label
_atom_site_type_symbol
_atom_site_fract_x
_atom_site_fract_y
_atom_site_fract_z
Pr1 Pr 0.250 0.250 0.250
Ho1 Ho 0.000 0.000 0.000
Hg1 Hg 0.000 0.000 0.500
# - E above lowest polymorph (meV per atom) = 151
# - energy (eV per cell) = -59.021
# - crystal system = cubic
# - formation enthalpy at 0 K (eV per atom) = -0.08



# ReOs3N PBE optimized geometry
data_ReOs3N
_cell_length_a 4.039
_cell_length_b 4.039
_cell_length_c 4.039
_cell_angle_alpha 90.00
_cell_angle_beta 90.00
_cell_angle_gamma 90.00
_symmetry_space_group_name_H-M 'P m -3 m'
_symmetry_Int_Tables_number 221
_symmetry_space_group_name_Hall '-P 4 2 3'
loop_
_atom_site_label
_atom_site_type_symbol
_atom_site_fract_x
_atom_site_fract_y
_atom_site_fract_z
Re1 Re 0.000 0.000 0.000
Os1 Os 0.000 0.500 0.500
N1 N 0.500 0.500 0.500
# - E above lowest polymorph (meV per atom) = 0
# - energy (eV per cell) = -50.749
# - crystal system = cubic
# - formation energy (no corrections) (kJ/mol of formula units) = 358



# PmSm6Ho2 PBE optimized geometry
data_PmSm6Ho2
_cell_length_a 3.612
_cell_length_b 8.834
_cell_length_c 9.541
_cell_angle_alpha 90.21
_cell_angle_beta 100.90
_cell_angle_gamma 90.09
_symmetry_space_group_name_H-M 'P -1'
_symmetry_Int_Tables_number 2
loop_
_symmetry_equiv_pos_as_xyz
'x,y,z'
'-x,-y,-z'
loop_
_atom_site_label
_atom_site_type_symbol
_atom_site_fract_x
_atom_site_fract_y
_atom_site_fract_z
Pm1 Pm 0.000 0.000 0.000
Sm1 Sm 0.110 0.665 0.220
Sm2 Sm 0.221 0.335 0.443
Sm3 Sm 0.333 0.001 0.667
Ho1 Ho 0.444 0.666 0.889
# - E above lowest polymorph (meV per atom) = 0
# - energy (eV per cell) = -42.078
# - crystal system = triclinic
# - formation enthalpy at 0 K (eV per atom) = 0.02



# ReSe2Br PBE optimized geometry
data_ReSe2Br
_cell_length_a 3.1612
_cell_length_b 3.1612
_cell_length_c 33.4989
_cell_angle_alpha 90.00
_cell_angle_beta 90.00
_cell_angle_gamma 120.00
_symmetry_space_group_name_H-M 'R -3 m'
_symmetry_Int_Tables_number 166
_symmetry_space_group_name_Hall '-R 3 2"'
loop_
_atom_site_label
_atom_site_type_symbol
_atom_site_fract_x
_atom_site_fract_y
_atom_site_fract_z
Re1 Re 0.0000 0.0000 0.0000
Se1 Se 0.0000 0.0000 0.3868
Br1 Br 0.0000 0.0000 0.5000
# - E above lowest polymorph (meV per atom) = 68
# - energy (eV per cell) = -62.560
# - crystal system = trigonal
# - formation energy (no corrections) (kJ/mol of formula units) = 23